DFT (PBE with a Hubbard U) results for a relaxed BaPbW2O8 crystal.

The structure in CIF format:
```
data_BaPbW2O8
_chemical_formula_sum 'Ba1 Pb1 W2 O8'
_symmetry_space_group_name_H-M 'P 1'
_symmetry_Int_Tables_number 1
_symmetry_space_group_name_Hall 'P 1'
_cell_length_a 6.704
_cell_length_b 6.704
_cell_length_c 6.704
_cell_angle_alpha 106.57
_cell_angle_beta 106.57
_cell_angle_gamma 115.45
loop_
_atom_site_label
_atom_site_type_symbol
_atom_site_fract_x
_atom_site_fract_y
_atom_site_fract_z
Ba1 Ba 0.000 0.000 0.000
Pb1 Pb 0.750 0.250 0.500
W1 W 0.250 0.750 0.500
W2 W 0.500 0.500 0.000
O1 O 0.092 0.415 0.323
O2 O 0.092 0.769 0.677
O3 O 0.165 0.346 0.819
O4 O 0.231 0.908 0.323
O5 O 0.527 0.346 0.181
O6 O 0.585 0.908 0.677
O7 O 0.654 0.473 0.819
O8 O 0.654 0.835 0.181
```

Total moment = 0.000 μB per cell
Space-group type = I-4m2 (119)
E = -7.06 eV/atom
Mass density = 6.064 g/cm³